No. 1
CaLaSc2Ru | PBE | relaxed

Output
The space-group type is P4/mmm. For the energy of formation, the calculation gives -45 meV/atom. Its energy above the most stable polymorph in this dataset is 78 meV per atom. Its total energy is -29.09 eV for the cell shown. The calculated density comes out at 4.3 g/cm3.

```
CaLaSc2Ru
1.0
5.0543 0.0000 0.0000
0.0000 5.0543 0.0000
0.0000 0.0000 5.5996
Sc Ru Ca La
2 1 1 1
Cartesian
0.0000 2.5272 0.0000
2.5272 0.0000 0.0000
0.0000 0.0000 0.0000
0.0000 0.0000 2.7998
2.5272 2.5272 2.7998
```

***

No. 2
TbAlGaGe2 | PBE | relaxed

Output
The space-group type is C2/m. For the energy of formation, the calculation gives -298 meV/atom. Its total energy is -44.25 eV for the cell shown. The calculated density comes out at 6.6 g/cm3.

```
TbAlGaGe2
1.0
-1.6875 -4.3778 0.7027
4.5567 1.3175 3.1358
-6.7770 3.2909 4.2267
Tb Al Ga Ge
2 2 2 4
Cartesian
0.7430 0.3104 3.7180
-4.6509 -0.0799 4.3472
-2.1181 1.1845 2.2924
-1.7897 -0.9540 5.7729
-0.2750 -2.2081 1.5981
-3.6329 2.4385 6.4672
-1.8738 1.5159 4.9440
-2.0340 -1.2855 3.1213
-5.6059 2.9046 4.6327
1.6981 -2.6741 3.4326
```